## Ho3ZrSc (GGA-PBE)

Data for Ho3ZrSc after structural relaxation.

Properties
E_tot (eV for the cell shown): -56.08
Distance to the lowest polymorph of the same formula (eV per atom): 0.046

Lattice parameters (Å, degrees): 3.3624 8.1633 11.0578 108.67 98.75 90.00
Last column: nearest neighbours and their distance in Å.
Fractional positions:
Sc (0.5777, 0.5884, 0.1554)  3 Sc 3.23-3.36, 7 Ho 3.31-3.48, 1 Zr 3.33
Sc (0.4223, 0.4116, 0.8446)  3 Sc 3.23-3.36, 7 Ho 3.31-3.48, 1 Zr 3.33
Ho (0.6294, 0.0391, 0.2589)  3 Zr 3.28-3.30, 8 Ho 3.36-3.67, 1 Sc 3.48
Ho (0.0161, 0.2189, 0.0323)  4 Sc 3.33-3.41, 8 Ho 3.36-3.67
Ho (0.1790, 0.4393, 0.3580)  2 Sc 3.31, 3 Zr 3.32-3.43, 7 Ho 3.36-3.52
Ho (0.3706, 0.9609, 0.7411)  3 Zr 3.28-3.30, 8 Ho 3.36-3.67, 1 Sc 3.48
Ho (0.8210, 0.5607, 0.6420)  2 Sc 3.31, 3 Zr 3.32-3.43, 7 Ho 3.36-3.52
Ho (0.9839, 0.7811, 0.9677)  4 Sc 3.33-3.41, 8 Ho 3.36-3.67
Zr (0.2665, 0.1740, 0.5329)  4 Zr 3.18-3.36, 6 Ho 3.28-3.43, 1 Sc 3.33
Zr (0.7335, 0.8260, 0.4671)  4 Zr 3.18-3.36, 6 Ho 3.28-3.43, 1 Sc 3.33

***

## ScAg2As (GGA-PBE)

Data for ScAg2As after structural relaxation.

Properties
E_tot (eV for the cell shown): -18.31

Lattice parameters (Å, degrees): 5.2429 3.8961 3.8994 89.99 90.00 90.00
Last column: nearest neighbours and their distance in Å.
Fractional positions:
Ag (0.0000, 0.0010, 0.0010)  4 Ag 2.75-2.77, 2 As 2.96, 2 Sc 2.96
Ag (0.0000, 0.4990, 0.4990)  4 Ag 2.75-2.77, 2 As 2.96, 2 Sc 2.96
As (0.5000, 0.2500, 0.2500)  4 Sc 2.76, 4 Ag 2.96
Sc (0.5000, 0.7500, 0.7500)  4 As 2.76, 4 Ag 2.96

***

## MgReSb2 (GGA-PBE)

Data for MgReSb2 after structural relaxation.

Properties
E_tot (eV for the cell shown): -20.30

Lattice parameters (Å, degrees): 3.5227 4.7585 4.7585 90.00 90.00 90.00
Last column: nearest neighbours and their distance in Å.
Fractional positions:
Re (0.5000, 0.0000, 0.5000)  8 Sb 2.96
Mg (0.5000, 0.5000, 0.0000)  8 Sb 2.96
Sb (0.0000, 0.5000, 0.5000)  4 Re 2.96, 4 Mg 2.96
Sb (0.0000, 0.0000, 0.0000)  4 Re 2.96, 4 Mg 2.96

***

## ScCo2W (GGA-PBE)

Data for ScCo2W after structural relaxation.

Properties
E_tot (eV for the cell shown): -63.70
Distance to the lowest polymorph of the same formula (eV per atom): 0.479

Lattice parameters (Å, degrees): 6.7483 6.7483 5.4926 52.10 52.10 90.00
Last column: nearest neighbours and their distance in Å.
Fractional positions:
Co (0.0938, 0.6250, 0.2500)  2 W 2.34
Co (0.3750, 0.3438, 0.7500)  2 W 2.34
Co (0.8750, 0.9062, 0.7500)  2 W 2.34
Co (0.6562, 0.1250, 0.2500)  2 W 2.34
W (0.0000, 0.0000, 0.0000)  4 Co 2.34
W (0.7500, 0.2500, 0.5000)  4 Co 2.34
Sc (0.2500, 0.7500, 0.5000)  4 Co 2.63, 2 W 2.72
Sc (0.5000, 0.5000, 0.0000)  4 Co 2.63, 2 W 2.72

***

## Pr3TlS (GGA-PBE)

Data for Pr3TlS after structural relaxation.

Properties
E_tot (eV for the cell shown): -25.00
Distance to the lowest polymorph of the same formula (eV per atom): 0.131

Lattice parameters (Å, degrees): 5.4470 5.4470 5.4470 90.00 90.00 90.00
Last column: nearest neighbours and their distance in Å.
Fractional positions:
Pr (0.0000, 0.5000, 0.0000)  2 S 2.72
Pr (0.0000, 0.0000, 0.5000)  2 S 2.72
Pr (0.5000, 0.0000, 0.0000)  2 S 2.72
S (0.0000, 0.0000, 0.0000)  6 Pr 2.72
Tl (0.5000, 0.5000, 0.5000)  12 Pr 3.85

***

## NaLiIn6 (GGA-PBE)

Data for NaLiIn6 after structural relaxation.

Properties
E_tot (eV for the cell shown): -20.49
Distance to the lowest polymorph of the same formula (eV per atom): 0.000

Lattice parameters (Å, degrees): 5.1522 6.6900 6.6900 119.99 90.00 90.00
Last column: nearest neighbours and their distance in Å.
Fractional positions:
In (0.0000, 0.5836, 0.9170)  2 Na 3.22, 8 In 3.24-3.35, 2 Li 3.34-3.35
In (0.5000, 0.9213, 0.0787)  2 Li 3.19, 8 In 3.24-3.44, 2 Na 3.35
In (0.5000, 0.4074, 0.0789)  2 Li 3.19, 8 In 3.23-3.44, 2 Na 3.34-3.35
In (0.5000, 0.9211, 0.5926)  2 Li 3.19, 8 In 3.23-3.44, 2 Na 3.34-3.35
In (0.0000, 0.0830, 0.4164)  2 Na 3.22, 8 In 3.24-3.35, 2 Li 3.34-3.35
In (0.0000, 0.5835, 0.4165)  2 Na 3.22, 8 In 3.23-3.35, 2 Li 3.35
Na (0.5000, 0.4164, 0.5836)  12 In 3.22-3.35
Li (0.0000, 0.0834, 0.9166)  12 In 3.19-3.35

***

## Dy5Bi3 (GGA-PBE)

Data for Dy5Bi3 after structural relaxation.

Properties
E_tot (eV for the cell shown): -80.32
Distance to the lowest polymorph of the same formula (eV per atom): 0.000

Lattice parameters (Å, degrees): 6.3734 9.1754 9.1754 120.00 90.00 90.00
Last column: nearest neighbours and their distance in Å.
Fractional positions:
Bi (0.7500, 0.0000, 0.6108)  9 Dy 3.13-3.46
Bi (0.2500, 0.3892, 0.0000)  9 Dy 3.13-3.46
Bi (0.2500, 0.0000, 0.3892)  9 Dy 3.13-3.46
Bi (0.7500, 0.3892, 0.3892)  9 Dy 3.13-3.46
Bi (0.7500, 0.6108, 0.0000)  9 Dy 3.13-3.46
Bi (0.2500, 0.6108, 0.6108)  9 Dy 3.13-3.46
Dy (0.5000, 0.3333, 0.6667)  2 Dy 3.19, 6 Bi 3.25
Dy (0.5000, 0.6667, 0.3333)  2 Dy 3.19, 6 Bi 3.25
Dy (0.2500, 0.2435, 0.2435)  5 Bi 3.13-3.46
Dy (0.7500, 0.2435, 0.0000)  5 Bi 3.13-3.46
Dy (0.2500, 0.0000, 0.7565)  5 Bi 3.13-3.46
Dy (0.0000, 0.6667, 0.3333)  2 Dy 3.19, 6 Bi 3.25
Dy (0.2500, 0.7565, 0.0000)  5 Bi 3.13-3.46
Dy (0.7500, 0.0000, 0.2435)  5 Bi 3.13-3.46
Dy (0.0000, 0.3333, 0.6667)  2 Dy 3.19, 6 Bi 3.25
Dy (0.7500, 0.7565, 0.7565)  5 Bi 3.13-3.46

***

## Nb2CoS (GGA-PBE)

Data for Nb2CoS after structural relaxation.

Properties
E_tot (eV for the cell shown): -30.35

Lattice parameters (Å, degrees): 2.9658 2.9658 8.7700 80.27 80.27 60.00
Last column: nearest neighbours and their distance in Å.
Fractional positions:
Nb (0.9077, 0.9077, 0.2769)  1 Co 2.38, 3 S 2.57
Nb (0.0923, 0.0923, 0.7231)  1 Co 2.38, 3 S 2.57
Co (0.0000, 0.0000, 0.0000)  2 Nb 2.38
S (0.5000, 0.5000, 0.5000)  6 Nb 2.57

***

## CsTe2RuO8 (GGA-PBE)

Data for CsTe2RuO8 after structural relaxation.

Properties
E_tot (eV for the cell shown): -67.67

Lattice parameters (Å, degrees): 5.5447 5.5447 8.6575 90.00 90.00 120.00
Last column: nearest neighbours and their distance in Å.
Fractional positions:
O (0.0008, 0.2929, 0.6272)  1 Ru 1.96, 1 Te 1.99
O (0.3333, 0.6667, 0.8674)  1 Te 1.82
O (0.2929, 0.2921, 0.3728)  1 Ru 1.96, 1 Te 1.99
O (0.7079, 0.0008, 0.3728)  1 Ru 1.96, 1 Te 1.99
O (0.9992, 0.7071, 0.3728)  1 Ru 1.96, 1 Te 1.99
O (0.7071, 0.7079, 0.6272)  1 Ru 1.96, 1 Te 1.99
O (0.2921, 0.9992, 0.6272)  1 Ru 1.96, 1 Te 1.99
O (0.6667, 0.3333, 0.1326)  1 Te 1.82
Te (0.3333, 0.6667, 0.6576)  4 O 1.82-1.99
Te (0.6667, 0.3333, 0.3424)  4 O 1.82-1.99
Cs (0.0000, 0.0000, 0.0000)  12 O 3.40-3.61
Ru (0.0000, 0.0000, 0.5000)  6 O 1.96

***

## RbCoNi3 (GGA-PBE)

Data for RbCoNi3 after structural relaxation.

Properties
E_tot (eV for the cell shown): -12.75
Distance to the lowest polymorph of the same formula (eV per atom): 1.577

Lattice parameters (Å, degrees): 4.5936 4.5936 4.5936 90.00 90.00 90.00
Last column: nearest neighbours and their distance in Å.
Fractional positions:
Rb (0.0000, 0.0000, 0.0000)  6 Ni 2.30
Ni (0.0000, 0.5000, 0.0000)  2 Rb 2.30
Ni (0.5000, 0.0000, 0.0000)  2 Rb 2.30
Ni (0.0000, 0.0000, 0.5000)  2 Rb 2.30
Co (0.5000, 0.5000, 0.5000)  12 Ni 3.25

***

## MgWCl3 (GGA-PBE)

Data for MgWCl3 after structural relaxation.

Properties
E_tot (eV for the cell shown): -19.44
Distance to the lowest polymorph of the same formula (eV per atom): 0.091

Lattice parameters (Å, degrees): 4.9022 4.9022 4.9022 90.00 90.00 90.00
Last column: nearest neighbours and their distance in Å.
Fractional positions:
W (0.5000, 0.5000, 0.5000)  12 Cl 3.47
Cl (0.0000, 0.0000, 0.5000)  2 Mg 2.45
Cl (0.0000, 0.5000, 0.0000)  2 Mg 2.45
Cl (0.5000, 0.0000, 0.0000)  2 Mg 2.45
Mg (0.0000, 0.0000, 0.0000)  6 Cl 2.45

***

## LiMn2Br (GGA-PBE)

Data for LiMn2Br after structural relaxation.

Properties
E_tot (eV for the cell shown): -20.14
Distance to the lowest polymorph of the same formula (eV per atom): 0.391

Lattice parameters (Å, degrees): 5.2852 5.2852 3.2678 90.00 90.00 118.59
Last column: nearest neighbours and their distance in Å.
Fractional positions:
Li (0.0000, 0.5000, 0.5000)  2 Br 2.70
Mn (0.5000, 0.5000, 0.0000)  2 Mn 2.70
Mn (0.0000, 0.0000, 0.0000)  2 Mn 2.70
Br (0.5000, 0.0000, 0.5000)  2 Li 2.70

***

> Which of these has the lowest E_tot?

Dy5Bi3